Entry w
The following is a SCAN calculation of a PBEsol-optimized structure of Sr2IrRh, from Alexandria. Values from VASP.

Cell and atoms, written as Quantum ESPRESSO input:
```
&SYSTEM
  ibrav = 0, nat = 4, ntyp = 3
/
ATOMIC_SPECIES
Ir 192.22 Ir.upf
Rh 102.91 Rh.upf
Sr 87.62 Sr.upf
ATOMIC_POSITIONS crystal
Ir 0.500 0.500 0.000
Rh 0.500 0.500 0.500
Sr 0.000 0.000 0.249
Sr 0.000 0.000 0.751
CELL_PARAMETERS angstrom
3.305 0.000 0.000
0.000 4.026 0.000
0.000 0.000 6.537
```

Properties
* calculated density: 8.98 Mg/m³
* total moment: 0.00 μB/cell
* volume: 87.0 Å³/f.u.
* space-group type: No. 47



Entry x
The following is a SCAN calculation of a PBEsol-optimized structure of Sr2IrRh, from Alexandria. Values from VASP.

Cell and atoms, written as Quantum ESPRESSO input:
```
&SYSTEM
  ibrav = 0, nat = 4, ntyp = 3
/
ATOMIC_SPECIES
Rh 102.91 Rh.upf
Sr 87.62 Sr.upf
Ir 192.22 Ir.upf
ATOMIC_POSITIONS crystal
Rh 0.250 0.250 0.250
Sr 0.000 0.000 0.000
Ir 0.500 0.500 0.500
Sr 0.750 0.750 0.750
CELL_PARAMETERS angstrom
4.922 0.000 0.000
2.461 4.263 0.000
2.461 1.421 4.019
```

Properties
* calculated density: 9.26 Mg/m³
* total moment: 1.12 μB/cell
* volume: 84.3 Å³/f.u.
* space-group type: No. 216



Stability ranking, top entry: entry w; the second entry is 18.2 kJ/mol of atoms less favorable.



Entry w
The following is a SCAN calculation of a PBEsol-optimized structure of TaIrRh2, from Alexandria. Values from VASP.

Cell and atoms, written as Quantum ESPRESSO input:
```
&SYSTEM
  ibrav = 0, nat = 4, ntyp = 3
/
ATOMIC_SPECIES
Rh 102.91 Rh.upf
Ta 180.95 Ta.upf
Ir 192.22 Ir.upf
ATOMIC_POSITIONS crystal
Rh 0.000 0.000 0.000
Rh 0.500 0.000 0.500
Ta 0.500 0.500 0.000
Ir 0.000 0.500 0.500
CELL_PARAMETERS angstrom
-2.205 -0.385 -1.677
-2.193 -2.321 3.414
-1.060 4.551 0.350
```

Properties
* calculated density: 16.57 Mg/m³
* total moment: 0.00 μB/cell
* volume: 58.0 Å³/f.u.
* space-group type: No. 10



Entry x
The following is a SCAN calculation of a PBEsol-optimized structure of TaIrRh2, from Alexandria. Values from VASP.

Cell and atoms, written as Quantum ESPRESSO input:
```
&SYSTEM
  ibrav = 0, nat = 4, ntyp = 3
/
ATOMIC_SPECIES
Rh 102.91 Rh.upf
Ta 180.95 Ta.upf
Ir 192.22 Ir.upf
ATOMIC_POSITIONS crystal
Rh 0.750 0.750 0.750
Rh 0.250 0.250 0.250
Ta 0.500 0.500 0.500
Ir 0.000 0.000 0.000
CELL_PARAMETERS angstrom
4.372 0.000 0.000
2.186 3.786 0.000
2.186 1.262 3.569
```

Properties
* calculated density: 16.27 Mg/m³
* total moment: 0.00 μB/cell
* volume: 59.1 Å³/f.u.
* space-group type: No. 225



Entry y
The following is a SCAN calculation of a PBEsol-optimized structure of TaIrRh2, from Alexandria. Values from VASP.

Cell and atoms, written as Quantum ESPRESSO input:
```
&SYSTEM
  ibrav = 0, nat = 4, ntyp = 3
/
ATOMIC_SPECIES
Ta 180.95 Ta.upf
Rh 102.91 Rh.upf
Ir 192.22 Ir.upf
ATOMIC_POSITIONS crystal
Ta 0.500 0.500 0.500
Rh 0.500 0.000 0.000
Rh 0.000 0.500 0.000
Ir 0.000 0.000 0.500
CELL_PARAMETERS angstrom
3.849 0.000 0.000
0.000 3.849 0.000
0.000 0.000 3.872
```

Properties
* calculated density: 16.76 Mg/m³
* total moment: 0.00 μB/cell
* volume: 57.4 Å³/f.u.
* space-group type: No. 123



Stability ranking, top entry: entry y; the second entry is 26.6 kJ/mol of atoms less favorable.



Entry w
The following is a SCAN calculation of a PBEsol-optimized structure of TcIrRh, from Alexandria. Values from VASP.

Cell and atoms, written as Quantum ESPRESSO input:
```
&SYSTEM
  ibrav = 0, nat = 3, ntyp = 3
/
ATOMIC_SPECIES
Rh 102.91 Rh.upf
Ir 192.22 Ir.upf
Tc 98.00 Tc.upf
ATOMIC_POSITIONS crystal
Rh 0.333 0.667 0.660
Ir 0.000 0.000 0.007
Tc 0.667 0.333 0.333
CELL_PARAMETERS angstrom
2.690 0.000 0.000
-1.345 2.329 0.000
0.000 0.000 6.602
```

Properties
* calculated density: 15.78 Mg/m³
* total moment: 0.00 μB/cell
* volume: 41.4 Å³/f.u.
* space-group type: No. 156



Entry x
The following is a SCAN calculation of a PBEsol-optimized structure of TcIrRh, from Alexandria. Values from VASP.

Cell and atoms, written as Quantum ESPRESSO input:
```
&SYSTEM
  ibrav = 0, nat = 3, ntyp = 3
/
ATOMIC_SPECIES
Tc 98.00 Tc.upf
Ir 192.22 Ir.upf
Rh 102.91 Rh.upf
ATOMIC_POSITIONS crystal
Tc 0.335 0.335 0.671
Ir 0.997 0.997 0.994
Rh 0.668 0.668 0.336
CELL_PARAMETERS angstrom
-2.068 -0.806 -1.503
-1.831 -1.149 3.136
0.266 4.635 -0.460
```

Properties
* calculated density: 15.82 Mg/m³
* total moment: 0.00 μB/cell
* volume: 41.3 Å³/f.u.
* space-group type: No. 44



Stability ranking, top entry: entry x; the second entry is 4.5 kJ/mol of atoms less favorable.